Material: Ho3Tm7
Method: DFT, PBE
State: relaxed

Cell: 4.9231 6.9933 9.2293 Å, 100.90 105.47 90.00°
Fractional positions:
Ho 0.0000 0.0000 0.0000
Ho 0.8003 0.3999 0.6005
Ho 0.1997 0.6001 0.3995
Tm 0.0000 0.5000 0.0000
Tm 0.8001 0.9000 0.6002
Tm 0.1999 0.1000 0.3998
Tm 0.5999 0.2999 0.1997
Tm 0.4001 0.7001 0.8003
Tm 0.6001 0.8003 0.2002
Tm 0.3999 0.1997 0.7998

Calculated values
N(E_F) = 12.56 states/eV/cell
space group = C2/m
ΔH_f (0 K) = 0.02 eV/atom